Material: Pm3Zn2Pd
Method: DFT, PBE
State: relaxed

Cell: 3.6723 3.6723 10.7174 Å, 90.00 90.00 90.00°
Positions (direct):
Pm 0.0000 0.0000 0.0000
Pm 0.0000 0.0000 0.3382
Pm 0.0000 0.0000 0.6618
Zn 0.5000 0.5000 0.1658
Zn 0.5000 0.5000 0.8342
Pd 0.5000 0.5000 0.5000

Properties
- Energy relative to the lowest polymorph listed for this composition: 0.0000 eV per atom
- M_tot: 0.0 μB per cell
- Energy of formation from the pure elements: -0.4780 eV per atom
- DOS at the Fermi energy: 5.03 states/eV/cell
- SG: P4/mmm, No. 123



Material: PmZn2Pd
Method: DFT, PBE
State: relaxed

Cell: 4.7429 4.7429 4.7429 Å, 60.00 60.00 60.00°
Positions (direct):
Pm 0.0000 0.0000 0.0000
Zn 0.2500 0.2500 0.2500
Zn 0.7500 0.7500 0.7500
Pd 0.5000 0.5000 0.5000

Properties
- Energy relative to the lowest polymorph listed for this composition: 0.1389 eV per atom
- M_tot: 0.0 μB per cell
- Energy of formation from the pure elements: -0.4385 eV per atom
- DOS at the Fermi energy: 4.63 states/eV/cell
- SG: Fm-3m, No. 225